Arrangement a

First-principles (PBE) data for crystalline TeOsRuI2 at its relaxed geometry, as listed in the Alexandria database.

density = 7.547 g cm⁻³

Structure (CIF):
```
data_TeOsRuI2
_chemical_formula_sum 'Te1 Os1 Ru1 I2'
_cell_length_a 5.405
_cell_length_b 5.405
_cell_length_c 5.066
_cell_angle_alpha 90.00
_cell_angle_beta 90.00
_cell_angle_gamma 90.00
_symmetry_space_group_name_H-M 'P 4/m m m'
_symmetry_Int_Tables_number 123
_symmetry_space_group_name_Hall '-P 4 2'
loop_
_atom_site_label
_atom_site_type_symbol
_atom_site_fract_x
_atom_site_fract_y
_atom_site_fract_z
Te1 Te 0.000 0.000 0.000
Os1 Os 0.500 0.500 0.000
Ru1 Ru 0.000 0.000 0.500
I1 I 0.000 0.500 0.500
```


Arrangement b

First-principles (PBE) data for crystalline TeOsRuI2 at its relaxed geometry, as listed in the Alexandria database.

density = 5.983 g cm⁻³

Structure (CIF):
```
data_TeOsRuI2
_chemical_formula_sum 'Te1 Os1 Ru1 I2'
_cell_length_a 6.167
_cell_length_b 6.167
_cell_length_c 4.909
_cell_angle_alpha 90.00
_cell_angle_beta 90.00
_cell_angle_gamma 90.00
_symmetry_space_group_name_H-M 'P 4/m m m'
_symmetry_Int_Tables_number 123
_symmetry_space_group_name_Hall '-P 4 2'
loop_
_atom_site_label
_atom_site_type_symbol
_atom_site_fract_x
_atom_site_fract_y
_atom_site_fract_z
Te1 Te 0.000 0.000 0.000
Os1 Os 0.000 0.000 0.500
Ru1 Ru 0.500 0.500 0.500
I1 I 0.000 0.500 0.000
```


Arrangement c

First-principles (PBE) data for crystalline TeOsRuI2 at its relaxed geometry, as listed in the Alexandria database.

density = 7.222 g cm⁻³

Structure (CIF):
```
data_TeOsRuI2
_chemical_formula_sum 'Te1 Os1 Ru1 I2'
_cell_length_a 5.580
_cell_length_b 5.580
_cell_length_c 4.968
_cell_angle_alpha 90.00
_cell_angle_beta 90.00
_cell_angle_gamma 90.00
_symmetry_space_group_name_H-M 'P 4/m m m'
_symmetry_Int_Tables_number 123
_symmetry_space_group_name_Hall '-P 4 2'
loop_
_atom_site_label
_atom_site_type_symbol
_atom_site_fract_x
_atom_site_fract_y
_atom_site_fract_z
Te1 Te 0.000 0.000 0.000
Os1 Os 0.000 0.000 0.500
Ru1 Ru 0.500 0.500 0.000
I1 I 0.000 0.500 0.500
```


Tell me which of them is the least stable. Sure, it is arrangement b.


Arrangement a

First-principles (PBE) data for crystalline OsSI2 at its relaxed geometry, as listed in the Alexandria database.

density = 6.988 g cm⁻³

Structure (CIF):
```
data_OsSI2
_chemical_formula_sum 'Os4 S4 I8'
_cell_length_a 7.147
_cell_length_b 7.147
_cell_length_c 8.858
_cell_angle_alpha 90.00
_cell_angle_beta 90.00
_cell_angle_gamma 90.00
_symmetry_space_group_name_H-M 'I -4 2 d'
_symmetry_Int_Tables_number 122
_symmetry_space_group_name_Hall 'I -4 2bw'
loop_
_atom_site_label
_atom_site_type_symbol
_atom_site_fract_x
_atom_site_fract_y
_atom_site_fract_z
Os1 Os 0.000 0.000 0.000
S1 S 0.000 0.000 0.500
I1 I 0.204 0.750 0.125
```


Arrangement b

First-principles (PBE) data for crystalline OsSI2 at its relaxed geometry, as listed in the Alexandria database.

density = 9.537 g cm⁻³

Structure (CIF):
```
data_OsSI2
_chemical_formula_sum 'Os4 S4 I8'
_cell_length_a 6.922
_cell_length_b 6.922
_cell_length_c 6.922
_cell_angle_alpha 90.00
_cell_angle_beta 90.00
_cell_angle_gamma 90.00
_symmetry_space_group_name_H-M 'F m -3 m'
_symmetry_Int_Tables_number 225
_symmetry_space_group_name_Hall '-F 4 2 3'
loop_
_atom_site_label
_atom_site_type_symbol
_atom_site_fract_x
_atom_site_fract_y
_atom_site_fract_z
Os1 Os 0.000 0.000 0.000
S1 S 0.000 0.000 0.500
I1 I 0.250 0.250 0.250
```


Tell me which of them is the least stable. Sure, it is arrangement b.


Arrangement a

First-principles (PBE) data for crystalline Os3SI at its relaxed geometry, as listed in the Alexandria database.

density = 10.476 g cm⁻³

Structure (CIF):
```
data_Os3SI
_chemical_formula_sum 'Os3 S1 I1'
_cell_length_a 4.872
_cell_length_b 4.872
_cell_length_c 4.872
_cell_angle_alpha 90.00
_cell_angle_beta 90.00
_cell_angle_gamma 90.00
_symmetry_space_group_name_H-M 'P m -3 m'
_symmetry_Int_Tables_number 221
_symmetry_space_group_name_Hall '-P 4 2 3'
loop_
_atom_site_label
_atom_site_type_symbol
_atom_site_fract_x
_atom_site_fract_y
_atom_site_fract_z
Os1 Os 0.000 0.000 0.500
S1 S 0.500 0.500 0.500
I1 I 0.000 0.000 0.000
```


Arrangement b

First-principles (PBE) data for crystalline Os3SI at its relaxed geometry, as listed in the Alexandria database.

density = 13.571 g cm⁻³

Structure (CIF):
```
data_Os3SI
_chemical_formula_sum 'Os3 S1 I1'
_cell_length_a 4.469
_cell_length_b 4.469
_cell_length_c 4.469
_cell_angle_alpha 90.00
_cell_angle_beta 90.00
_cell_angle_gamma 90.00
_symmetry_space_group_name_H-M 'P m -3 m'
_symmetry_Int_Tables_number 221
_symmetry_space_group_name_Hall '-P 4 2 3'
loop_
_atom_site_label
_atom_site_type_symbol
_atom_site_fract_x
_atom_site_fract_y
_atom_site_fract_z
Os1 Os 0.000 0.000 0.500
S1 S 0.000 0.000 0.000
I1 I 0.500 0.500 0.500
```


Tell me which of them is the least stable. Sure, it is arrangement a.


Arrangement a

First-principles (PBE) data for crystalline Sb2OsSI at its relaxed geometry, as listed in the Alexandria database.

density = 7.431 g cm⁻³

Structure (CIF):
```
data_Sb2OsSI
_chemical_formula_sum 'Sb2 Os1 S1 I1'
_cell_length_a 5.024
_cell_length_b 5.024
_cell_length_c 5.248
_cell_angle_alpha 90.00
_cell_angle_beta 90.00
_cell_angle_gamma 90.00
_symmetry_space_group_name_H-M 'P 4/m m m'
_symmetry_Int_Tables_number 123
_symmetry_space_group_name_Hall '-P 4 2'
loop_
_atom_site_label
_atom_site_type_symbol
_atom_site_fract_x
_atom_site_fract_y
_atom_site_fract_z
Sb1 Sb 0.000 0.500 0.000
Os1 Os 0.000 0.000 0.500
S1 S 0.500 0.500 0.000
I1 I 0.500 0.500 0.500
```


Arrangement b

First-principles (PBE) data for crystalline Sb2OsSI at its relaxed geometry, as listed in the Alexandria database.

density = 6.935 g cm⁻³

Structure (CIF):
```
data_Sb2OsSI
_chemical_formula_sum 'Sb2 Os1 S1 I1'
_cell_length_a 5.083
_cell_length_b 5.083
_cell_length_c 5.493
_cell_angle_alpha 90.00
_cell_angle_beta 90.00
_cell_angle_gamma 90.00
_symmetry_space_group_name_H-M 'P 4/m m m'
_symmetry_Int_Tables_number 123
_symmetry_space_group_name_Hall '-P 4 2'
loop_
_atom_site_label
_atom_site_type_symbol
_atom_site_fract_x
_atom_site_fract_y
_atom_site_fract_z
Sb1 Sb 0.000 0.500 0.000
Os1 Os 0.000 0.000 0.000
S1 S 0.500 0.500 0.500
I1 I 0.000 0.000 0.500
```


Tell me which of them is the least stable. Sure, it is arrangement a.